Computed, not measured: CaNdGdAl after structural relaxation at the PBE level of DFT.

```
4
Lattice="0.000 3.868 3.868 3.868 0.000 3.868 3.868 3.868 0.000" Properties=species:S:1:pos:R:3 pbc="T T T"
Ca 0.000 0.000 0.000
Nd 5.802 5.802 5.802
Gd 1.934 1.934 1.934
Al 3.868 3.868 3.868
```

Properties
* density: 5.29 Mg/m³
* space-group type: F-43m (216)
* magnetization: 7.3 μB/f.u.
* DFT formation energy: -0.0724 eV per atom
* crystal system: cubic
* VASP energy: -6.22 eV/atom